1.
VASP calculation (PBE-GGA) on NaMn2InN after structural relaxation.

Unit cell a=3.7931 b=5.1908 c=3.7931 alpha=90.00 beta=90.00 gamma=90.00
Closest atoms and distances in Å follow each position.
Fractional coordinates of all 5 atoms:
Mn: 0.0000 0.0000 0.5000  2 N 1.90
Mn: 0.5000 0.0000 0.0000  2 N 1.90
N: 0.0000 0.0000 0.0000  4 Mn 1.90
Na: 0.5000 0.5000 0.5000  4 In 2.68
In: 0.0000 0.5000 0.0000  2 N 2.60, 4 Na 2.68

Computed properties:
Formation energy without anion corrections (eV/atom): 0.4988
Spin magnetization (μB/f.u.): 0.0
Electronic total energy (eV per atom): -5.646


2.
VASP calculation (PBE-GGA) on Ca3Al6Pd5 after structural relaxation.

Unit cell a=4.2384 b=9.6049 c=12.9082 alpha=90.00 beta=90.00 gamma=90.00
Closest atoms and distances in Å follow each position.
Fractional coordinates of all 28 atoms:
Pd: 0.0000 0.8638 0.3402  5 Al 2.56-2.73
Pd: 0.0000 0.5442 0.1146  5 Al 2.60-2.61
Pd: 0.0000 0.8638 0.6598  5 Al 2.56-2.73
Pd: 0.0000 0.5442 0.8854  5 Al 2.60-2.61
Pd: 0.5000 0.4558 0.6146  5 Al 2.60-2.61
Pd: 0.5000 0.4558 0.3854  5 Al 2.60-2.61
Pd: 0.5000 0.1903 0.5000  4 Al 2.64, 2 Pd 2.95
Pd: 0.5000 0.1362 0.1598  5 Al 2.56-2.73
Pd: 0.5000 0.1362 0.8402  5 Al 2.56-2.73
Pd: 0.0000 0.8097 0.0000  4 Al 2.64, 2 Pd 2.95
Al: 0.0000 0.5815 0.3143  4 Pd 2.60-2.73, 1 Al 2.80
Al: 0.0000 0.9876 0.1557  4 Pd 2.56-2.66
Al: 0.5000 0.0124 0.6557  4 Pd 2.56-2.66
Al: 0.0000 0.5815 0.6857  4 Pd 2.60-2.73, 1 Al 2.80
Al: 0.5000 0.4185 0.1857  4 Pd 2.60-2.73, 1 Al 2.80
Al: 0.5000 0.0124 0.3443  4 Pd 2.56-2.66
Al: 0.0000 0.9876 0.8443  4 Pd 2.56-2.66
Al: 0.5000 0.5684 0.0000  4 Pd 2.60, 2 Al 2.80
Al: 0.0000 0.0263 0.5000  4 Pd 2.59-2.64
Al: 0.5000 0.4185 0.8143  4 Pd 2.60-2.73, 1 Al 2.80
Al: 0.5000 0.9737 0.0000  4 Pd 2.59-2.64
Al: 0.0000 0.4317 0.5000  4 Pd 2.60, 2 Al 2.80
Ca: 0.5000 0.7526 0.1913  8 Al 3.04-3.26, 6 Pd 3.05-3.30
Ca: 0.0000 0.2474 0.3087  8 Al 3.04-3.26, 6 Pd 3.05-3.30
Ca: 0.0000 0.2690 0.0000  6 Pd 3.03-3.22, 2 Al 3.37
Ca: 0.5000 0.7526 0.8087  8 Al 3.04-3.26, 6 Pd 3.05-3.30
Ca: 0.5000 0.7310 0.5000  6 Pd 3.03-3.22, 2 Al 3.37
Ca: 0.0000 0.2474 0.6913  8 Al 3.04-3.26, 6 Pd 3.05-3.30

Computed properties:
Spin magnetization (μB/f.u.): 0.0
Electronic total energy (eV per atom): -4.633


3.
VASP calculation (PBE-GGA) on ZrAgSe2 after structural relaxation.

Unit cell a=3.4284 b=3.4318 c=7.3918 alpha=71.83 beta=90.00 gamma=90.00
Closest atoms and distances in Å follow each position.
Fractional coordinates of all 4 atoms:
Se: 0.0000 0.6158 0.4724  2 Ag 2.82, 4 Zr 2.85-2.92, 1 Se 3.13
Se: 0.0000 0.8842 0.0276  2 Ag 2.82, 4 Zr 2.85-2.92, 1 Se 3.13
Zr: 0.5000 0.2500 0.2500  8 Se 2.85-2.92
Ag: 0.5000 0.7500 0.7500  4 Se 2.82

Computed properties:
Formation energy without anion corrections (eV/atom): -0.7151
Spin magnetization (μB/f.u.): 0.0
Electronic total energy (eV per atom): -5.307


4.
VASP calculation (PBE-GGA) on AgPRh2 after structural relaxation.

Unit cell a=2.8717 b=2.8717 c=7.0472 alpha=90.00 beta=90.00 gamma=90.00
Closest atoms and distances in Å follow each position.
Fractional coordinates of all 4 atoms:
Rh: 0.0000 0.0000 0.3019  4 P 2.46
Rh: 0.0000 0.0000 0.6981  4 P 2.46
Ag: 0.5000 0.5000 0.0000  4 Ag 2.87, 8 Rh 2.94
P: 0.5000 0.5000 0.5000  8 Rh 2.46

Computed properties:
Spin magnetization (μB/f.u.): 0.0
Electronic total energy (eV per atom): -5.993


5.
VASP calculation (PBE-GGA) on Ca2PmNd after structural relaxation.

Unit cell a=3.6132 b=3.6132 c=13.5375 alpha=82.33 beta=82.33 gamma=60.00
Closest atoms and distances in Å follow each position.
Fractional coordinates of all 4 atoms:
Pm: 0.0000 0.0000 0.0000  2 Ca 3.53, 6 Pm 3.61
Ca: 0.0880 0.0880 0.7361  1 Pm 3.53, 6 Ca 3.61, 3 Nd 3.78
Ca: 0.9120 0.9120 0.2639  1 Pm 3.53, 6 Ca 3.61, 3 Nd 3.78
Nd: 0.5000 0.5000 0.5000  6 Nd 3.61, 6 Ca 3.78

Computed properties:
Polymorph energy (0 for the lowest one) (meV/atom): 170
Spin magnetization (μB/f.u.): 0.5
Electronic total energy (eV per atom): -3.173


6.
VASP calculation (PBE-GGA) on Li2LaIO6 after structural relaxation.

Unit cell a=5.2421 b=5.2421 c=6.2229 alpha=65.09 beta=65.10 gamma=60.00
Closest atoms and distances in Å follow each position.
Fractional coordinates of all 10 atoms:
O: 0.5557 0.2354 0.2506  1 I 1.90, 1 Li 2.01
O: 0.0769 0.3968 0.8522  1 I 1.90, 1 Li 2.01
O: 0.2354 0.9585 0.2509  1 I 1.90, 1 Li 2.01
O: 0.6739 0.0767 0.8523  1 I 1.90, 1 Li 2.01
O: 0.3969 0.6740 0.8523  1 I 1.90, 1 Li 2.01
O: 0.9585 0.5556 0.2506  1 I 1.90, 1 Li 2.01
Li: 0.0088 0.0089 0.9734  3 O 2.01
Li: 0.6233 0.6236 0.1297  3 O 2.01
I: 0.3162 0.3162 0.0515  6 O 1.90
La: 0.8161 0.8162 0.5515  6 O 2.43

Computed properties:
Formation energy without anion corrections (eV/atom): -1.7477
Spin magnetization (μB/f.u.): 0.0
Electronic total energy (eV per atom): -5.753


7.
VASP calculation (PBE-GGA) on CsYTlTe3 after structural relaxation.

Unit cell a=4.6136 b=10.0834 c=11.5984 alpha=107.97 beta=90.00 gamma=90.00
Closest atoms and distances in Å follow each position.
Fractional coordinates of all 12 atoms:
Te: 0.7500 0.8641 0.1047  1 Tl 3.01, 2 Y 3.14
Te: 0.7500 0.2458 0.5858  3 Tl 3.06-3.32, 1 Y 3.23
Te: 0.2500 0.5359 0.8470  3 Y 3.04-3.13
Te: 0.2500 0.7542 0.4142  3 Tl 3.06-3.32, 1 Y 3.23
Te: 0.7500 0.4641 0.1530  3 Y 3.04-3.13
Te: 0.2500 0.1359 0.8953  1 Tl 3.01, 2 Y 3.14
Cs: 0.7500 0.7902 0.7531  5 Te 3.85-4.08, 2 Tl 4.22
Cs: 0.2500 0.2098 0.2469  5 Te 3.85-4.08, 2 Tl 4.22
Tl: 0.7500 0.9354 0.3763  4 Te 3.01-3.32
Tl: 0.2500 0.0646 0.6237  4 Te 3.01-3.32
Y: 0.7500 0.3399 0.8782  6 Te 3.04-3.23
Y: 0.2500 0.6601 0.1218  6 Te 3.04-3.23

Computed properties:
Formation energy without anion corrections (eV/atom): -0.9396
Spin magnetization (μB/f.u.): 0.0
Electronic total energy (eV per atom): -4.124


8.
VASP calculation (PBE-GGA) on MnFeRh after structural relaxation.

Unit cell a=5.0464 b=5.0464 c=5.0464 alpha=146.21 beta=146.21 gamma=48.54
Closest atoms and distances in Å follow each position.
Fractional coordinates of all 3 atoms:
Rh: 0.6645 0.6645 0.0000  4 Fe 2.58, 4 Mn 2.61
Fe: 0.9985 0.9985 0.0000  4 Mn 2.55, 4 Rh 2.58
Mn: 0.3369 0.3369 0.0000  4 Fe 2.55, 4 Rh 2.61

Computed properties:
Polymorph energy (0 for the lowest one) (meV/atom): 0
Spin magnetization (μB/f.u.): 6.5
Electronic total energy (eV per atom): -8.319


9.
VASP calculation (PBE-GGA) on Ga3SnTe after structural relaxation.

Unit cell a=5.3421 b=5.3421 c=5.3421 alpha=90.00 beta=90.00 gamma=90.00
Closest atoms and distances in Å follow each position.
Fractional coordinates of all 5 atoms:
Ga: 0.5000 0.0000 0.0000  2 Sn 2.67
Ga: 0.0000 0.5000 0.0000  2 Sn 2.67
Ga: 0.0000 0.0000 0.5000  2 Sn 2.67
Te: 0.5000 0.5000 0.5000  12 Ga 3.78
Sn: 0.0000 0.0000 0.0000  6 Ga 2.67

Computed properties:
Polymorph energy (0 for the lowest one) (meV/atom): 0
Formation energy without anion corrections (eV/atom): 0.2960
Spin magnetization (μB/f.u.): 0.0
Electronic total energy (eV per atom): -2.949


10.
VASP calculation (PBE-GGA) on LaW2Cl after structural relaxation.

Unit cell a=3.1062 b=3.1062 c=9.3641 alpha=90.00 beta=90.00 gamma=115.29
Closest atoms and distances in Å follow each position.
Fractional coordinates of all 4 atoms:
W: 0.5000 0.5000 0.2329  2 W 2.51
W: 0.0000 0.0000 0.0323  2 W 2.51
Cl: 0.0000 0.0000 0.4861  2 W 2.90, 2 La 2.97, 4 Cl 3.11
La: 0.5000 0.5000 0.7487  2 Cl 2.97, 6 La 3.11-3.32, 2 W 3.13

Computed properties:
Polymorph energy (0 for the lowest one) (meV/atom): 256
Formation energy without anion corrections (eV/atom): 0.2182
Spin magnetization (μB/f.u.): 0.0
Electronic total energy (eV per atom): -7.952


11.
VASP calculation (PBE-GGA) on Sc2MnB2Ru5 after structural relaxation.

Unit cell a=3.0239 b=9.3366 c=9.3366 alpha=90.00 beta=90.00 gamma=90.00
Closest atoms and distances in Å follow each position.
Fractional coordinates of all 20 atoms:
Ru: 0.5000 0.2127 0.0709  2 B 2.20
Ru: 0.5000 0.5709 0.7127  2 B 2.20
Ru: 0.5000 0.7127 0.4291  2 B 2.20
Ru: 0.5000 0.4291 0.2873  2 B 2.20
Ru: 0.5000 0.0000 0.5000  4 B 2.23
Ru: 0.5000 0.2873 0.5709  2 B 2.20
Ru: 0.5000 0.9291 0.2127  2 B 2.20
Ru: 0.5000 0.5000 0.0000  4 B 2.23
Ru: 0.5000 0.0709 0.7873  2 B 2.20
Ru: 0.5000 0.7873 0.9291  2 B 2.20
Mn: 0.0000 0.0000 0.0000  8 Ru 2.58
Mn: 0.0000 0.5000 0.5000  8 Ru 2.58
B: 0.0000 0.3755 0.1245  6 Ru 2.20-2.23
B: 0.0000 0.1245 0.6245  6 Ru 2.20-2.23
B: 0.0000 0.6245 0.8755  6 Ru 2.20-2.23
B: 0.0000 0.8755 0.3755  6 Ru 2.20-2.23
Sc: 0.0000 0.8251 0.6749  3 B 2.65-2.83, 10 Ru 2.76-2.94
Sc: 0.0000 0.3251 0.8251  3 B 2.65-2.83, 10 Ru 2.76-2.94
Sc: 0.0000 0.1749 0.3251  3 B 2.65-2.83, 10 Ru 2.76-2.94
Sc: 0.0000 0.6749 0.1749  3 B 2.65-2.83, 10 Ru 2.76-2.94

Computed properties:
Spin magnetization (μB/f.u.): 2.1
Electronic total energy (eV per atom): -8.640


12.
VASP calculation (PBE-GGA) on NaTlHPd2 after structural relaxation.

Unit cell a=4.1425 b=4.1425 c=4.3673 alpha=90.00 beta=90.00 gamma=90.00
Closest atoms and distances in Å follow each position.
Fractional coordinates of all 5 atoms:
Pd: 0.5000 0.0000 0.0000  2 H 2.07
Pd: 0.0000 0.5000 0.0000  2 H 2.07
Na: 0.0000 0.0000 0.5000  2 H 2.18
H: 0.0000 0.0000 0.0000  4 Pd 2.07, 2 Na 2.18
Tl: 0.5000 0.5000 0.5000  4 Na 2.93, 8 Pd 3.01

Computed properties:
Polymorph energy (0 for the lowest one) (meV/atom): 0
Spin magnetization (μB/f.u.): 0.0
Electronic total energy (eV per atom): -3.663


13.
VASP calculation (PBE-GGA) on CaZnSb4 after structural relaxation.

Unit cell a=6.3015 b=6.3015 c=6.3015 alpha=60.00 beta=60.00 gamma=60.00
Closest atoms and distances in Å follow each position.
Fractional coordinates of all 6 atoms:
Sb: 0.3758 0.3758 0.3758  6 Sb 3.13-3.17
Sb: 0.3758 0.8725 0.3758  6 Sb 3.13-3.17
Sb: 0.3758 0.3758 0.8725  6 Sb 3.13-3.17
Sb: 0.8725 0.3758 0.3758  6 Sb 3.13-3.17
Ca: 0.0000 0.0000 0.0000  12 Sb 3.70, 4 Zn 3.86
Zn: 0.7500 0.7500 0.7500  12 Sb 3.69, 4 Ca 3.86

Computed properties:
Formation energy without anion corrections (eV/atom): -0.0482
Spin magnetization (μB/f.u.): 0.0
Electronic total energy (eV per atom): -3.342


14.
VASP calculation (PBE-GGA) on BeAg2Ru after structural relaxation.

Unit cell a=5.3848 b=5.3848 c=4.4656 alpha=65.47 beta=65.47 gamma=29.47
Closest atoms and distances in Å follow each position.
Fractional coordinates of all 4 atoms:
Ag: 0.4614 0.4614 0.5386  2 Be 2.41
Ag: 0.0386 0.0386 0.9614  2 Be 2.41
Be: 0.7500 0.7500 0.7500  4 Ag 2.41, 4 Ru 2.62
Ru: 0.2500 0.2500 0.2500  4 Be 2.62, 2 Ru 2.74

Computed properties:
Spin magnetization (μB/f.u.): 0.0
Electronic total energy (eV per atom): -4.336


15.
VASP calculation (PBE-GGA) on La2OsPd2 after structural relaxation.

Unit cell a=5.6138 b=5.6138 c=5.5836 alpha=59.82 beta=59.82 gamma=90.00
Closest atoms and distances in Å follow each position.
Fractional coordinates of all 5 atoms:
Os: 0.0000 0.0000 0.0000  2 Pd 2.65
Pd: 0.3372 0.3372 0.3257  1 Pd 2.56, 1 Os 2.65
Pd: 0.6628 0.6628 0.6743  1 Pd 2.56, 1 Os 2.65
La: 0.7500 0.2500 0.5000  4 Pd 2.89
La: 0.2500 0.7500 0.5000  4 Pd 2.89

Computed properties:
Polymorph energy (0 for the lowest one) (meV/atom): 209
Spin magnetization (μB/f.u.): 0.3
Electronic total energy (eV per atom): -6.363


16.
VASP calculation (PBE-GGA) on SrLiY2 after structural relaxation.

Unit cell a=3.5371 b=3.5371 c=11.2934 alpha=90.00 beta=90.00 gamma=108.42
Closest atoms and distances in Å follow each position.
Fractional coordinates of all 4 atoms:
Y: 0.0000 0.0000 0.4697  2 Li 3.23, 4 Y 3.54
Y: 0.0000 0.0000 0.0303  2 Li 3.23, 4 Y 3.54
Sr: 0.5000 0.5000 0.7500  4 Sr 3.54, 4 Y 3.78
Li: 0.5000 0.5000 0.2500  4 Y 3.23, 4 Li 3.54

Computed properties:
Polymorph energy (0 for the lowest one) (meV/atom): 144
Spin magnetization (μB/f.u.): 0.0
Electronic total energy (eV per atom): -3.879


17.
VASP calculation (PBE-GGA) on Pm2Er8Th3 after structural relaxation.

Unit cell a=10.0404 b=10.0404 c=6.2385 alpha=85.69 beta=85.69 gamma=45.06
Closest atoms and distances in Å follow each position.
Fractional coordinates of all 13 atoms:
Er: 0.5895 0.1657 0.3815  2 Th 3.23-3.30, 2 Pm 3.24-3.34, 3 Er 3.26-3.56
Er: 0.1657 0.5895 0.3815  2 Th 3.23-3.30, 2 Pm 3.24-3.34, 3 Er 3.26-3.56
Er: 0.6050 0.6050 0.1385  1 Pm 3.07, 2 Th 3.20
Er: 0.4105 0.8343 0.6185  2 Th 3.23-3.30, 2 Pm 3.24-3.34, 3 Er 3.26-3.56
Er: 0.8256 0.8256 0.8123  2 Pm 3.37-3.42, 2 Er 3.56, 1 Th 3.64
Er: 0.3950 0.3950 0.8615  1 Pm 3.07, 2 Th 3.20
Er: 0.1744 0.1744 0.1877  2 Pm 3.37-3.42, 2 Er 3.56, 1 Th 3.64
Er: 0.8343 0.4105 0.6185  2 Th 3.23-3.30, 2 Pm 3.24-3.34, 3 Er 3.26-3.56
Pm: 0.2469 0.2469 0.6751  7 Er 3.07-3.42
Pm: 0.7531 0.7531 0.3249  7 Er 3.07-3.42
Th: 0.1977 0.8023 0.0000  1 Th 3.04, 4 Er 3.20-3.23
Th: 0.8023 0.1977 0.0000  1 Th 3.04, 4 Er 3.20-3.23
Th: 0.0000 0.0000 0.5000  6 Er 3.30-3.64, 4 Th 3.47

Computed properties:
Polymorph energy (0 for the lowest one) (meV/atom): 200
Spin magnetization (μB/f.u.): 0.0
Electronic total energy (eV per atom): -4.783


18.
VASP calculation (PBE-GGA) on BaGe3Pd after structural relaxation.

Unit cell a=4.6047 b=4.6047 c=6.1898 alpha=111.78 beta=111.78 gamma=90.06
Closest atoms and distances in Å follow each position.
Fractional coordinates of all 5 atoms:
Ba: 0.9997 0.9997 0.9994  12 Ge 3.43-3.51, 5 Pd 3.60-3.73
Ge: 0.7482 0.2486 0.4963  2 Pd 2.56, 2 Ge 2.76-2.77
Ge: 0.6021 0.6021 0.2048  1 Pd 2.62, 4 Ge 2.76-2.77
Ge: 0.2486 0.7482 0.4963  2 Pd 2.56, 2 Ge 2.76-2.77
Pd: 0.3536 0.3536 0.7077  5 Ge 2.56-2.62

Computed properties:
Spin magnetization (μB/f.u.): 0.0
Electronic total energy (eV per atom): -4.760


19.
VASP calculation (PBE-GGA) on In2PtRh after structural relaxation.

Unit cell a=3.5279 b=3.2464 c=6.9493 alpha=61.79 beta=90.00 gamma=90.00
Closest atoms and distances in Å follow each position.
Fractional coordinates of all 4 atoms:
Rh: 0.5000 0.7500 0.7500  8 In 2.82-2.83, 2 Pt 3.06
In: 0.0000 0.4955 0.5051  4 Rh 2.82-2.83, 4 Pt 2.85-2.87, 2 In 3.00-3.12
In: 0.0000 0.0045 0.9949  4 Rh 2.82-2.83, 4 Pt 2.85-2.87, 2 In 3.00-3.12
Pt: 0.5000 0.2500 0.2500  8 In 2.85-2.87, 2 Rh 3.06

Computed properties:
Spin magnetization (μB/f.u.): 0.0
Electronic total energy (eV per atom): -5.117


20.
VASP calculation (PBE-GGA) on Sm4GeCBr2 after structural relaxation.

Unit cell a=3.9917 b=7.0561 c=7.6600 alpha=107.78 beta=90.00 gamma=90.00
Closest atoms and distances in Å follow each position.
Fractional coordinates of all 8 atoms:
Sm: 0.5000 0.7340 0.8022  1 C 2.56, 2 Ge 2.84
Sm: 0.0000 0.7054 0.1874  2 C 2.62, 1 Ge 2.86
Sm: 0.5000 0.2660 0.1978  1 C 2.56, 2 Ge 2.84
Sm: 0.0000 0.2946 0.8126  2 C 2.62, 1 Ge 2.86
Ge: 0.0000 0.0000 0.0000  6 Sm 2.84-2.86
C: 0.5000 0.5000 0.0000  6 Sm 2.56-2.62
Br: 0.5000 0.0000 0.5000  6 Sm 3.32-3.40
Br: 0.0000 0.5000 0.5000  6 Sm 3.12-3.15

Computed properties:
Formation energy without anion corrections (eV/atom): -0.9810
Spin magnetization (μB/f.u.): 0.0
Electronic total energy (eV per atom): -5.489